No. 1
Density functional theory data (PBE) for an optimized crystal structure of CoMoP3.

Results
Formation enthalpy at 0 K   0.794 eV per atom
Excess energy over the best structure of this formula in the dataset   0 meV/atom
Symmetry   Pm-3m, No. 221

Cell: 4.2733 4.2733 4.2733 Å, 90.00 90.00 90.00°
Closest atoms and distances in Å follow each position.
Fractional coordinates of all 5 atoms:
1 Co 0.0000 0.0000 0.0000  6 P 2.14
2 Mo 0.5000 0.5000 0.5000  12 P 3.02
3 P 0.0000 0.0000 0.5000  2 Co 2.14
4 P 0.0000 0.5000 0.0000  2 Co 2.14
5 P 0.5000 0.0000 0.0000  2 Co 2.14



No. 2
Density functional theory data (PBE) for an optimized crystal structure of CoMoP2.

Results
Formation enthalpy at 0 K   -0.359 eV per atom
Symmetry   P4mm, No. 99

Cell: 3.1618 3.1618 5.0966 Å, 90.00 90.00 90.00°
Closest atoms and distances in Å follow each position.
Fractional coordinates of all 4 atoms:
1 Co 0.0000 0.0000 0.0000  5 P 2.24-2.33
2 Mo 0.5000 0.5000 0.3679  6 P 2.44-2.56
3 P 0.0000 0.0000 0.5605  1 Co 2.24, 4 Mo 2.44
4 P 0.5000 0.5000 0.8695  4 Co 2.33, 2 Mo 2.54-2.56



No. 3
Density functional theory data (PBE) for an optimized crystal structure of CoMoP2.

Results
Formation enthalpy at 0 K   -0.175 eV per atom
Symmetry   Fm-3m, No. 225

Cell: 4.1369 4.1369 4.1369 Å, 60.00 60.00 60.00°
Closest atoms and distances in Å follow each position.
Fractional coordinates of all 4 atoms:
1 Co 0.0000 0.0000 0.0000  8 P 2.53
2 Mo 0.5000 0.5000 0.5000  8 P 2.53
3 P 0.2500 0.2500 0.2500  4 Mo 2.53, 4 Co 2.53
4 P 0.7500 0.7500 0.7500  4 Co 2.53, 4 Mo 2.53



No. 4
Density functional theory data (PBE) for an optimized crystal structure of CoMoP.

Results
Formation enthalpy at 0 K   -0.326 eV per atom
Symmetry   Pnma, No. 62

Cell: 4.6971 3.3076 9.9043 Å, 90.00 90.00 90.00°
Closest atoms and distances in Å follow each position.
Fractional coordinates of all 12 atoms:
1 Co 0.2385 0.2500 0.1913  4 P 2.22-2.26
2 Co 0.2615 0.7500 0.6913  4 P 2.22-2.26
3 Co 0.7385 0.2500 0.3087  4 P 2.22-2.26
4 Co 0.7615 0.7500 0.8087  4 P 2.22-2.26
5 Mo 0.2221 0.7500 0.9699  3 P 2.46-2.60, 3 Co 2.69-2.75, 2 Mo 2.73
6 Mo 0.2779 0.2500 0.4699  3 P 2.46-2.60, 3 Co 2.69-2.75, 2 Mo 2.73
7 Mo 0.7221 0.7500 0.5301  3 P 2.46-2.60, 3 Co 2.69-2.75, 2 Mo 2.73
8 Mo 0.7779 0.2500 0.0301  3 P 2.46-2.60, 3 Co 2.69-2.75, 2 Mo 2.73
9 P 0.0532 0.7500 0.3201  4 Co 2.22-2.26, 2 Mo 2.46
10 P 0.4468 0.2500 0.8201  4 Co 2.22-2.26, 2 Mo 2.46
11 P 0.5532 0.7500 0.1799  4 Co 2.22-2.26, 2 Mo 2.46
12 P 0.9468 0.2500 0.6799  4 Co 2.22-2.26, 2 Mo 2.46